[1]
Density functional theory data (GGA-PBE) for an optimized crystal structure of ScAl2Tc.

```
ScAl2Tc
1.0
5.533 0.000 0.000
0.000 7.913 0.000
0.000 0.000 2.991
Sc Al Tc
2 4 2
Cartesian
0.000 0.000 0.000
2.767 3.957 0.000
1.383 1.978 1.496
1.383 5.935 1.496
4.150 1.978 1.496
4.150 5.935 1.496
0.000 3.957 0.000
2.767 0.000 0.000
```

Values from the calculation:
SG ... Cmmm
Magnetic moment ... 0.1386 μB per atom
VASP energy ... -25.23 eV/f.u.
Energy relative to the lowest polymorph listed for this composition ... 0.61 eV/f.u.


[2]
Density functional theory data (GGA-PBE) for an optimized crystal structure of Ta2MnW.

```
Ta2MnW
1.0
6.316 0.000 0.000
0.000 6.316 0.000
0.000 0.000 6.316
Ta Mn W
8 4 4
Cartesian
0.000 0.000 0.000
0.000 3.158 3.158
1.579 1.579 1.579
1.579 4.737 4.737
3.158 0.000 3.158
3.158 3.158 0.000
4.737 1.579 4.737
4.737 4.737 1.579
0.000 0.000 3.158
0.000 3.158 0.000
3.158 0.000 0.000
3.158 3.158 3.158
1.579 1.579 4.737
1.579 4.737 1.579
4.737 1.579 1.579
4.737 4.737 4.737
```

Values from the calculation:
SG ... F-43m
Magnetic moment ... 0.0001 μB per atom
VASP energy ... -45.73 eV/f.u.


Number 1: energy of formation from the pure elements -0.261 eV per atom. Number 2: energy of formation from the pure elements 0.023 eV per atom.